[1]
A geometry-optimized Tb3Cd4Hg2 structure, computed with PBE-GGA.

a = 8.098 Å, b = 8.098 Å, c = 3.875 Å
α = 90.00°, β = 90.00°, γ = 120.00°
Positions (direct):
1 Cd 0.269 0.000 0.000
2 Cd 0.000 0.000 0.500
3 Cd 0.731 0.731 0.000
4 Cd 0.000 0.269 0.000
5 Tb 0.403 0.403 0.500
6 Tb 0.000 0.597 0.500
7 Tb 0.597 0.000 0.500
8 Hg 0.333 0.667 0.000
9 Hg 0.667 0.333 0.000

Properties
symmetry = No. 189
formation energy from the elements = -0.400 eV per atom



[2]
A geometry-optimized LiPrAsO structure, computed with PBE-GGA.

a = 3.951 Å, b = 3.951 Å, c = 9.911 Å
α = 90.00°, β = 90.00°, γ = 90.00°
Positions (direct):
1 O 0.750 0.250 0.000
2 O 0.250 0.750 0.000
3 Pr 0.750 0.750 0.874
4 Pr 0.250 0.250 0.126
5 Li 0.750 0.250 0.500
6 Li 0.250 0.750 0.500
7 As 0.750 0.750 0.322
8 As 0.250 0.250 0.678

Properties
symmetry = No. 129
ΔE to the lowest computed polymorph = 0.000 eV/atom



[3]
A geometry-optimized PrFe2 structure, computed with PBE-GGA.

a = 5.243 Å, b = 5.243 Å, c = 5.243 Å
α = 60.00°, β = 60.00°, γ = 60.00°
Each line ends with the local moment (μB).
Positions (direct):
1 Fe 0.625 0.125 0.625  2.30
2 Fe 0.625 0.625 0.625  2.17
3 Fe 0.625 0.625 0.125  2.21
4 Fe 0.125 0.625 0.625  2.04
5 Pr 0.250 0.250 0.250  -0.34
6 Pr 0.000 0.000 0.000  -0.34

Properties
symmetry = No. 227
formation energy from the elements = 0.123 eV per atom



[4]
A geometry-optimized HgBi2Mo structure, computed with PBE-GGA.

a = 5.144 Å, b = 5.144 Å, c = 5.144 Å
α = 60.00°, β = 60.00°, γ = 60.00°
Each line ends with the local moment (μB).
Positions (direct):
1 Bi 0.250 0.250 0.250  -0.08
2 Bi 0.000 0.000 0.000  -0.06
3 Hg 0.750 0.750 0.750  0.02
4 Mo 0.500 0.500 0.500  2.13

Properties
symmetry = No. 216
DFT total energy = -0.1462 Ha/atom



Number 1: size of the total moment 0.00 μB per atom. Number 2: size of the total moment 0.00 μB per atom. Number 3: size of the total moment 1.27 μB per atom. Number 4: size of the total moment 0.60 μB per atom.